{"formula": "YMoAs2Se", "functional": "PBE-GGA", "state": "relaxed", "cell": [[4.760, 0.000, 0.000], [0.000, 4.760, 0.000], [0.000, 0.000, 5.345]], "species": ["Y", "Mo", "As", "As", "Se"], "frac_coords": [[0.000, 0.000, 0.000], [0.500, 0.500, 0.500], [0.000, 0.500, 0.500], [0.500, 0.000, 0.500], [0.500, 0.500, 0.000]], "relative_energy_mev_per_atom": 0, "total_magnetization_mub_per_cell": 0.0}

{"formula": "YMoAsSe2", "functional": "PBE-GGA", "state": "relaxed", "cell": [[4.991, 0.000, 0.000], [0.000, 4.991, 0.000], [0.000, 0.000, 4.843]], "species": ["Y", "Mo", "As", "Se", "Se"], "frac_coords": [[0.000, 0.000, 0.000], [0.500, 0.500, 0.500], [0.500, 0.500, 0.000], [0.000, 0.500, 0.500], [0.500, 0.000, 0.500]], "relative_energy_mev_per_atom": 0, "total_magnetization_mub_per_cell": 0.9}

{"formula": "ZrMoAsSe2", "functional": "PBE-GGA", "state": "relaxed", "cell": [[5.146, 0.000, 0.000], [0.000, 5.146, 0.000], [0.000, 0.000, 5.245]], "species": ["Zr", "Mo", "As", "Se", "Se"], "frac_coords": [[0.000, 0.000, 0.000], [0.500, 0.500, 0.500], [0.000, 0.000, 0.500], [0.000, 0.500, 0.000], [0.500, 0.000, 0.000]], "relative_energy_mev_per_atom": 165, "total_magnetization_mub_per_cell": 3.6}

{"formula": "ZrMoAsSe2", "functional": "PBE-GGA", "state": "relaxed", "cell": [[4.897, 0.000, 0.000], [0.000, 4.897, 0.000], [0.000, 0.000, 4.880]], "species": ["Zr", "Mo", "As", "Se", "Se"], "frac_coords": [[0.000, 0.000, 0.000], [0.500, 0.500, 0.500], [0.500, 0.500, 0.000], [0.000, 0.500, 0.500], [0.500, 0.000, 0.500]], "relative_energy_mev_per_atom": 0, "total_magnetization_mub_per_cell": 1.9}

| no. | ρ (kg/m3) | uncorrected energy (eV/atom) | uncorrected formation energy (meV/atom) |
| --- | --- | --- | --- |
| 1 | 5671 | -6.159 | -143 |
| 2 | 5749 | -6.014 | -232 |
| 3 | 5022 | -5.715 | 484 |
| 4 | 5959 | -5.880 | 320 |